# Pm12GaIr6

A relaxed structure of Pm12GaIr6 (PBE-GGA, Alexandria).

a = 13.1223 Å, b = 13.1223 Å, c = 11.3654 Å
α = 90.00°, β = 90.00°, γ = 120.00°
With the nearest neighbours (Å) after each atom.
Space group R-3 (No. 148, hexagonal axes)
Unique sites:
Pm 0.0314 0.8160 0.3900  4 Ir 2.88-3.05
Pm 0.0391 0.8207 0.8894  2 Ir 2.80-2.84, 1 Ga 2.93
Ga 0.0000 0.0000 0.0000  6 Pm 2.93
Ir 0.0469 0.7860 0.6472  6 Pm 2.80-3.05

Calculated values
The value obtained for the spin magnetization is 0.00 μB/cell. As for the formation energy from the elements: -9.6 eV/f.u.